Record 1
Here is crystalline Na2CaCoO4 at its relaxed geometry from the Alexandria database. Energies are from GGA+U.

abc: 5.6268 5.6268 6.7963
angles: 90.00 90.00 90.00
Closest atoms and distances in Å follow each position.
Space group I-4 (No. 82)
Symmetry-distinct sites (fractional):
Na  0.0000  0.0000  0.0000 [2 per cell]  4 O 2.32
Na  0.0000  0.5000  0.2500 [2 per cell]  4 O 2.36
Ca  0.0000  0.5000  0.7500 [2 per cell]  4 O 2.31
Co  0.0000  0.0000  0.5000 [2 per cell]  4 O 1.79
O  0.2118  0.2195  0.5755 [8 per cell]  1 Co 1.79

Output
Energy in eV per atom: -5.300
Size of the total moment in μB per cell: 6.01

***

Record 2
Here is crystalline NaCa2CoO4 at its relaxed geometry from the Alexandria database. Energies are from GGA+U.

abc: 3.3487 11.8406 11.8866
angles: 90.00 90.00 90.00
Closest atoms and distances in Å follow each position.
Space group Cmcm (No. 63)
Symmetry-distinct sites (fractional):
Na  0.0000  0.0649  0.2500 [4 per cell]  2 O 2.50
Ca  0.0000  0.3736  0.0403 [8 per cell]  6 O 2.30-2.53
Co  0.0000  0.1893  0.7500 [4 per cell]  2 O 1.79
O  0.0000  0.0000  0.0000 [4 per cell]  4 Ca 2.30
O  0.0000  0.2560  0.6151 [8 per cell]  1 Co 1.79
O  0.0000  0.4076  0.2500 [4 per cell]  2 Co 2.03

Output
Energy in eV per atom: -5.813
Size of the total moment in μB per cell: 16.23